This record from Alexandria via LeMat-Bulk describes a relaxed structure of NbPd3Pt4. The functional is PBE.

Unit cell a=8.4121 b=8.4121 c=8.4121 alpha=152.60 beta=152.60 gamma=39.14
Sites, in units of the cell vectors:
Nb (0.0000, 0.0000, 0.0000)
Pd (0.2524, 0.2524, 0.0000)
Pd (0.5000, 0.5000, 0.0000)
Pd (0.7476, 0.7476, 0.0000)
Pt (0.1215, 0.6215, 0.5000)
Pt (0.3785, 0.8785, 0.5000)
Pt (0.6215, 0.1215, 0.5000)
Pt (0.8785, 0.3785, 0.5000)

Summary:
Total moment ... 0.00 μB/f.u.
Offset from the most stable computed form ... 0 meV per atom
N(E_F) ... 9.595 states/eV/cell
Symmetry ... No. 139